# SrMn2AsO GGA+U relaxed
data_SrMn2AsO
_chemical_formula_sum 'Sr1 Mn2 As1 O1'
_space_group_name_H-M_alt 'P 1'
_space_group_IT_number 1
_space_group_name_Hall 'P 1'
_cell_length_a 4.824
_cell_length_b 4.824
_cell_length_c 5.004
_cell_angle_alpha 90.00
_cell_angle_beta 90.00
_cell_angle_gamma 90.00
loop_
_atom_site_label
_atom_site_fract_x
_atom_site_fract_y
_atom_site_fract_z
As1 0.000 0.000 0.000
O1 0.000 0.000 0.500
Sr1 0.500 0.500 0.500
Mn1 0.500 0.000 0.000
Mn2 0.000 0.500 0.000
# Mass density = 4.1 Mg/m³
# Uncorrected energy = -25.361 eV/cell
# Crystal system = tetragonal
# M_tot = 8.77 μB/cell